Entry 1:
## Nd2NpScAs4 (GGA-PBE)

Data for a geometry-optimized Nd2NpScAs4 structure.

The value obtained for the density of states at the Fermi level is 1.427 states/eV per atom. For the energy of formation, the calculation gives -1.24 eV/atom. The calculation puts the volume at 24.96 Å³/atom. The calculation puts the density at 7.24 g/cm3.

The structure belongs to space group P2/m (No. 10); the cell edges are 7.140, 4.135 and 7.166 Å and the angles 90.00°, 109.29° and 90.00°. The asymmetric unit holds Nd at (0.000, 0.000, 0.000), Nd at (0.500, 0.500, 0.000), Np at (0.000, 0.500, 0.500), Sc at (0.500, 0.000, 0.500), As at (0.249, 0.000, 0.733) and As at (0.261, 0.500, 0.271).

Entry 2:
## TbPrY6Er2 (GGA-PBE)

Data for a geometry-optimized TbPrY6Er2 structure.

The value obtained for the density of states at the Fermi level is 1.560 states/eV per atom. For the energy of formation, the calculation gives 0.12 eV/atom. The calculation puts the volume at 32.82 Å³/atom. The calculation puts the density at 5.91 g/cm3.

The structure belongs to space group C2/c (No. 15); the cell edges are 9.171, 14.965 and 9.668 Å and the angles 90.00°, 98.39° and 90.00°. The asymmetric unit holds Tb at (0.000, 0.026, 0.250), Pr at (0.000, 0.406, 0.750), Y at (0.065, 0.182, 0.944), Y at (0.099, 0.394, 0.118), Y at (0.203, 0.225, 0.319) and Er at (0.243, 0.050, 0.547).

Entry 3:
## Pd2Rh (GGA-PBE)

Data for a geometry-optimized Pd2Rh structure.

The value obtained for the density of states at the Fermi level is 1.865 states/eV per atom. For the energy of formation, the calculation gives 0.08 eV/atom. The calculation puts the volume at 15.06 Å³/atom. Its relative energy among the computed polymorphs is 0.000 eV per atom. The calculation puts the density at 11.61 g/cm3.

The structure belongs to space group I4/mmm (No. 139); the cell edges are 2.763, 2.763 and 11.835 Å and the angles 90.00°, 90.00° and 90.00°. The asymmetric unit holds Pd at (0.000, 0.000, 0.164) and Rh at (0.000, 0.000, 0.500).

Please write out number 2 again, unchanged.
## TbPrY6Er2 (GGA-PBE)

Data for a geometry-optimized TbPrY6Er2 structure.

The value obtained for the density of states at the Fermi level is 1.560 states/eV per atom. For the energy of formation, the calculation gives 0.12 eV/atom. The calculation puts the volume at 32.82 Å³/atom. The calculation puts the density at 5.91 g/cm3.

The structure belongs to space group C2/c (No. 15); the cell edges are 9.171, 14.965 and 9.668 Å and the angles 90.00°, 98.39° and 90.00°. The asymmetric unit holds Tb at (0.000, 0.026, 0.250), Pr at (0.000, 0.406, 0.750), Y at (0.065, 0.182, 0.944), Y at (0.099, 0.394, 0.118), Y at (0.203, 0.225, 0.319) and Er at (0.243, 0.050, 0.547).